Record 1
{
  "formula": "KLiCl",
  "functional": "PBE",
  "state": "optimized geometry",
  "dos_at_fermi_per_ev_cell": 1.78,
  "e_tot_ev_per_cell": -6.65,
  "e_form_raw_ev_per_fu": -1.80,
  "lattice_angstrom": [[0.0000, 3.8290, 3.8290], [3.8290, 0.0000, 3.8290], [3.8290, 3.8290, 0.0000]],
  "species": ["K", "Li", "Cl"],
  "frac_coords": [[0.0000, 0.0000, 0.0000], [0.2500, 0.2500, 0.2500], [0.7500, 0.7500, 0.7500]]
}



Record 2
{
  "formula": "LuTaNb2",
  "functional": "PBE",
  "state": "optimized geometry",
  "dos_at_fermi_per_ev_cell": 4.82,
  "e_tot_ev_per_cell": -35.17,
  "formation_enthalpy_0k_mev_per_atom": 334.8,
  "lattice_angstrom": [[1.6095, 0.9292, 9.2251], [-1.6095, 0.9292, 9.2251], [0.0000, -1.8585, 9.2251]],
  "species": ["Lu", "Ta", "Nb", "Nb"],
  "frac_coords": [[0.0000, 0.0000, 0.0000], [0.5000, 0.5000, 0.5000], [0.2407, 0.2407, 0.2407], [0.7593, 0.7593, 0.7593]]
}



Record 3
{
  "formula": "CdPW2",
  "functional": "PBE",
  "state": "optimized geometry",
  "dos_at_fermi_per_ev_cell": 3.75,
  "e_tot_ev_per_cell": -29.13,
  "formation_enthalpy_0k_mev_per_atom": 774.8,
  "lattice_angstrom": [[4.5340, 0.0000, 0.0000], [0.0000, 4.5340, 0.0000], [0.0000, 0.0000, 3.0629]],
  "species": ["Cd", "P", "W", "W"],
  "frac_coords": [[0.0000, 0.0000, 0.0000], [0.5000, 0.5000, 0.0000], [0.0000, 0.5000, 0.5000], [0.5000, 0.0000, 0.5000]]
}



Record 4
{
  "formula": "Mg3ZnAg12",
  "functional": "PBE",
  "state": "optimized geometry",
  "dos_at_fermi_per_ev_cell": 5.76,
  "e_tot_ev_per_cell": -41.98,
  "formation_enthalpy_0k_mev_per_atom": -106.6,
  "lattice_angstrom": [[4.0936, 0.0000, 0.0000], [0.0000, 4.0936, 0.0000], [0.0000, 0.0000, 16.9574]],
  "species": ["Mg", "Mg", "Mg", "Zn", "Ag", "Ag", "Ag", "Ag", "Ag", "Ag", "Ag", "Ag", "Ag", "Ag", "Ag", "Ag"],
  "frac_coords": [[0.0000, 0.0000, 0.0000], [0.0000, 0.0000, 0.2524], [0.0000, 0.0000, 0.7476], [0.0000, 0.0000, 0.5000], [0.0000, 0.5000, 0.1264], [0.0000, 0.5000, 0.3783], [0.0000, 0.5000, 0.6217], [0.0000, 0.5000, 0.8736], [0.5000, 0.0000, 0.1264], [0.5000, 0.0000, 0.3783], [0.5000, 0.0000, 0.6217], [0.5000, 0.0000, 0.8736], [0.5000, 0.5000, 0.0000], [0.5000, 0.5000, 0.2528], [0.5000, 0.5000, 0.5000], [0.5000, 0.5000, 0.7472]]
}



Record 5
{
  "formula": "La12Al5Sn",
  "functional": "PBE",
  "state": "optimized geometry",
  "dos_at_fermi_per_ev_cell": 21.98,
  "e_tot_ev_per_cell": -87.01,
  "formation_enthalpy_0k_mev_per_atom": -286.9,
  "lattice_angstrom": [[-5.0500, 5.1218, 5.5937], [5.0500, -5.1218, 5.5937], [5.0500, 5.1218, -5.5937]],
  "species": ["La", "La", "La", "La", "La", "La", "La", "La", "La", "La", "La", "La", "Al", "Al", "Al", "Al", "Al", "Sn"],
  "frac_coords": [[0.0357, 0.8218, 0.2139], [0.2412, 0.5440, 0.3028], [0.2412, 0.9384, 0.6972], [0.2740, 0.3157, 0.5897], [0.2740, 0.6843, 0.9582], [0.3922, 0.1782, 0.2139], [0.6078, 0.8218, 0.7861], [0.7260, 0.3157, 0.0418], [0.7260, 0.6843, 0.4103], [0.7588, 0.0616, 0.3028], [0.7588, 0.4560, 0.6972], [0.9643, 0.1782, 0.7861], [0.0000, 0.1377, 0.1377], [0.0000, 0.5000, 0.5000], [0.0000, 0.8623, 0.8623], [0.3810, 0.3810, 0.0000], [0.6190, 0.6190, 0.0000], [0.5000, 0.0000, 0.5000]]
}



Record 6
{
  "formula": "SmDy8Er2",
  "functional": "PBE",
  "state": "optimized geometry",
  "dos_at_fermi_per_ev_cell": 15.61,
  "e_tot_ev_per_cell": -49.39,
  "formation_enthalpy_0k_mev_per_atom": 115.2,
  "lattice_angstrom": [[-2.7481, 4.0524, 7.9147], [2.7481, -4.0524, 7.9147], [2.7481, 4.0524, -7.9147]],
  "species": ["Sm", "Dy", "Dy", "Dy", "Dy", "Dy", "Dy", "Dy", "Dy", "Er", "Er"],
  "frac_coords": [[0.0000, 0.0000, 0.0000], [0.1546, 0.8611, 0.2936], [0.1634, 0.6634, 0.5000], [0.2950, 0.5000, 0.7950], [0.4325, 0.1389, 0.2936], [0.5675, 0.8611, 0.7064], [0.7050, 0.5000, 0.2050], [0.8366, 0.3366, 0.5000], [0.8454, 0.1389, 0.7064], [0.3001, 0.3001, 0.0000], [0.6999, 0.6999, 0.0000]]
}



Record 7
{
  "formula": "YHgSe3",
  "functional": "PBE",
  "state": "optimized geometry",
  "dos_at_fermi_per_ev_cell": 6.23,
  "e_tot_ev_per_cell": -18.95,
  "e_form_raw_ev_per_fu": -1.73,
  "lattice_angstrom": [[5.5442, 0.0000, 0.0000], [0.0000, 5.5442, 0.0000], [0.0000, 0.0000, 5.5442]],
  "species": ["Y", "Hg", "Se", "Se", "Se"],
  "frac_coords": [[0.0000, 0.0000, 0.0000], [0.5000, 0.5000, 0.5000], [0.0000, 0.0000, 0.5000], [0.0000, 0.5000, 0.0000], [0.5000, 0.0000, 0.0000]]
}



Record 8
{
  "formula": "P3CSe",
  "functional": "PBE",
  "state": "optimized geometry",
  "dos_at_fermi_per_ev_cell": 1.80,
  "e_tot_ev_per_cell": -22.72,
  "e_form_raw_ev_per_fu": 6.21,
  "lattice_angstrom": [[4.1409, 0.0000, 0.0000], [0.0000, 4.1409, 0.0000], [0.0000, 0.0000, 4.1409]],
  "species": ["P", "P", "P", "C", "Se"],
  "frac_coords": [[0.0000, 0.0000, 0.5000], [0.0000, 0.5000, 0.0000], [0.5000, 0.0000, 0.0000], [0.0000, 0.0000, 0.0000], [0.5000, 0.5000, 0.5000]]
}



Record 9
{
  "formula": "HoTh",
  "functional": "PBE",
  "state": "optimized geometry",
  "dos_at_fermi_per_ev_cell": 5.71,
  "e_tot_ev_per_cell": -23.86,
  "formation_enthalpy_0k_mev_per_atom": 33.0,
  "lattice_angstrom": [[3.5930, 0.0000, 0.0000], [0.0000, 5.0225, 0.0000], [0.0000, 0.0000, 7.0583]],
  "species": ["Ho", "Ho", "Th", "Th"],
  "frac_coords": [[0.2500, 0.2500, 0.1295], [0.7500, 0.7500, 0.8705], [0.2500, 0.2500, 0.6186], [0.7500, 0.7500, 0.3814]]
}



Record 10
{
  "formula": "Li2PbF",
  "functional": "PBE",
  "state": "optimized geometry",
  "dos_at_fermi_per_ev_cell": 1.29,
  "e_tot_ev_per_cell": -15.12,
  "e_form_raw_ev_per_fu": -5.71,
  "lattice_angstrom": [[1.6253, 0.9383, 7.1891], [-1.6253, 0.9383, 7.1891], [0.0000, -1.8767, 7.1891]],
  "species": ["Li", "Li", "Pb", "F"],
  "frac_coords": [[0.2181, 0.2181, 0.2181], [0.7819, 0.7819, 0.7819], [0.0000, 0.0000, 0.0000], [0.5000, 0.5000, 0.5000]]
}



Record 11
{
  "formula": "YPAuO2",
  "functional": "PBE",
  "state": "optimized geometry",
  "dos_at_fermi_per_ev_cell": 3.94,
  "e_tot_ev_per_cell": -27.95,
  "e_form_raw_ev_per_fu": -2.88,
  "lattice_angstrom": [[4.1736, 0.0000, 0.0000], [0.0000, 4.1736, 0.0000], [0.0000, 0.0000, 6.2649]],
  "species": ["Y", "P", "Au", "O", "O"],
  "frac_coords": [[0.0000, 0.0000, 0.0000], [0.0000, 0.0000, 0.5000], [0.5000, 0.5000, 0.5000], [0.0000, 0.5000, 0.0000], [0.5000, 0.0000, 0.0000]]
}



Record 12
{
  "formula": "Li3Tl2Pd7",
  "functional": "PBE",
  "state": "optimized geometry",
  "dos_at_fermi_per_ev_cell": 5.38,
  "e_tot_ev_per_cell": -49.68,
  "formation_enthalpy_0k_mev_per_atom": -237.9,
  "lattice_angstrom": [[2.3058, -10.4341, 0.0000], [2.3058, 10.4341, 0.0000], [0.0000, 0.0000, 4.4765]],
  "species": ["Li", "Li", "Li", "Tl", "Tl", "Pd", "Pd", "Pd", "Pd", "Pd", "Pd", "Pd"],
  "frac_coords": [[0.0000, 0.0000, 0.0000], [0.1501, 0.8499, 0.0000], [0.8499, 0.1501, 0.0000], [0.3515, 0.6485, 0.5000], [0.6485, 0.3515, 0.5000], [0.0732, 0.9268, 0.5000], [0.2163, 0.7837, 0.5000], [0.4305, 0.5695, 0.0000], [0.5000, 0.5000, 0.5000], [0.5695, 0.4305, 0.0000], [0.7837, 0.2163, 0.5000], [0.9268, 0.0732, 0.5000]]
}